(1)
# NaHgSeF

A relaxed structure of NaHgSeF (PBE-GGA, Alexandria via LeMat-Bulk).

abc: 4.325 4.325 12.073
angles: 79.68 79.68 60.00
Atoms (fractional coordinates):
Na  0.636  0.636  0.092
Na  0.364  0.364  0.908
Hg  0.798  0.798  0.606
Hg  0.202  0.202  0.394
Se  0.110  0.110  0.671
Se  0.890  0.890  0.329
F  0.699  0.699  0.904
F  0.301  0.301  0.096

Calculated values
**E**: -24.22 eV per cell
**Formation energy without anion corrections**: -1.283 eV/atom
**Symmetry**: R-3m (166)
**Total magnetization**: 0.00 μB/cell
**V**: 95.67 Å³/f.u.

***

(2)
# Ac8Ru3SI4

A relaxed structure of Ac8Ru3SI4 (PBE-GGA, Alexandria via LeMat-Bulk).

abc: 8.811 9.979 8.811
angles: 116.18 120.00 90.00
Atoms (fractional coordinates):
Ac  0.235  0.683  0.948
Ac  0.235  0.683  0.470
Ac  0.270  0.309  0.539
Ac  0.713  0.683  0.948
Ac  0.287  0.317  0.052
Ac  0.730  0.691  0.461
Ac  0.765  0.317  0.530
Ac  0.765  0.317  0.052
Ru  0.500  0.500  0.000
Ru  0.500  0.500  0.500
Ru  0.000  0.500  0.500
S  0.000  0.500  0.000
I  0.500  0.000  0.000
I  0.500  0.000  0.500
I  0.000  0.000  0.000
I  0.000  0.000  0.500

Calculated values
**E**: -85.62 eV per cell
**Formation energy without anion corrections**: -0.912 eV/atom
**Symmetry**: R-3m (166)
**Total magnetization**: 0.00 μB/cell
**V**: 577.30 Å³/f.u.

***

(3)
# Ga2Cu2Ag

A relaxed structure of Ga2Cu2Ag (PBE-GGA, Alexandria via LeMat-Bulk).

abc: 7.332 7.332 2.796
angles: 90.00 90.00 90.00
Atoms (fractional coordinates):
Cu  0.173  0.673  0.500
Cu  0.673  0.827  0.500
Cu  0.827  0.327  0.500
Cu  0.327  0.173  0.500
Ga  0.372  0.872  0.000
Ga  0.872  0.628  0.000
Ga  0.628  0.128  0.000
Ga  0.128  0.372  0.000
Ag  0.000  0.000  0.000
Ag  0.500  0.500  0.000

Calculated values
**E**: -34.19 eV per cell
**Symmetry**: P4/mbm (127)
**Total magnetization**: 0.00 μB/cell
**Excess energy over the best structure of this formula in the dataset**: 8.0 meV/atom
**Energy of formation from the pure elements**: 0.000 eV/atom
**V**: 75.16 Å³/f.u.

***

Question: What is the total magnetization in the third record?
Answer: 0.00 μB/cell

***

Question: Which of these has the highest V?
Answer: Ac8Ru3SI4

***

Question: Number 3 is which compound?
Answer: Ga2Cu2Ag